w.
PBE-GGA Mg2TlO, optimized geometry; space-group type = I-42d
1.0
-3.067 3.067 4.293
3.067 -3.067 4.293
3.067 3.067 -4.293
Mg Tl O
4 2 2
Cartesian
-0.655 1.534 1.073
1.534 2.412 3.220
0.655 4.601 1.073
-1.534 3.722 3.220
3.067 0.000 2.147
0.000 0.000 4.293
0.000 0.000 0.000
0.000 3.067 2.147

x.
PBE-GGA Mg2TlO, optimized geometry; space-group type = Fm-3m
1.0
0.000 3.356 3.356
3.356 0.000 3.356
3.356 3.356 0.000
Mg Tl O
2 1 1
Cartesian
1.678 1.678 1.678
5.034 5.034 5.034
0.000 0.000 0.000
3.356 3.356 3.356

Stability check: which of them is most stable? w.